1.
DFT (PBE) results for a geometry-optimized TaTlNiIr structure.

a = 4.542 Å, b = 4.542 Å, c = 4.542 Å
α = 60.00°, β = 60.00°, γ = 60.00°
Element x y z (fractional)
Ta: 0.000 0.000 0.000
Tl: 0.250 0.250 0.250
Ni: 0.500 0.500 0.500
Ir: 0.750 0.750 0.750

magnetic moment = 0.02 μB per cell
calculated total energy = -27.53 eV/f.u.
crystal system = cubic


2.
DFT (PBE) results for a geometry-optimized Lu4Nb2Ga3N3 structure.

a = 5.748 Å, b = 5.748 Å, c = 14.140 Å
α = 101.53°, β = 101.53°, γ = 60.30°
Element x y z (fractional)
Lu: 0.035 0.195 0.097
Lu: 0.130 0.303 0.403
Lu: 0.195 0.035 0.597
Lu: 0.303 0.130 0.903
Lu: 0.697 0.870 0.097
Lu: 0.805 0.965 0.403
Lu: 0.870 0.697 0.597
Lu: 0.965 0.805 0.903
Nb: 0.359 0.525 0.077
Nb: 0.475 0.641 0.423
Nb: 0.525 0.359 0.577
Nb: 0.641 0.475 0.923
Ga: 0.145 0.855 0.250
Ga: 0.314 0.417 0.750
Ga: 0.417 0.314 0.250
Ga: 0.583 0.686 0.750
Ga: 0.686 0.583 0.250
Ga: 0.855 0.145 0.750
N: 0.000 0.500 0.000
N: 0.161 0.670 0.500
N: 0.330 0.839 0.000
N: 0.500 0.000 0.500
N: 0.670 0.161 0.000
N: 0.839 0.330 0.500

magnetic moment = 0.00 μB per cell
calculated total energy = -85.01 eV/f.u.
crystal system = monoclinic


> Among the records above, which one has the highest magnetic moment?

TaTlNiIr


> What is the calculated total energy in the first record?

-27.53 eV/f.u.


> Which value of calculated total energy does entry 2 give?

-85.01 eV/f.u.


> The lowest calculated total energy belongs to which entry?

Lu4Nb2Ga3N3